PmPrV2O8 | PBE+U | relaxed

Geometry as extended XYZ:
```
12
Lattice="-3.717 3.717 3.251 3.717 -3.717 3.251 3.717 3.717 -3.251" Properties=species:S:1:pos:R:3 pbc="T T T"
Pm 0.000 0.000 0.000
Pr 3.717 0.000 1.626
V 0.000 0.000 3.251
V 0.000 3.717 1.626
O 2.387 3.717 -1.123
O 1.330 0.000 2.128
O 0.000 2.368 0.522
O 3.717 2.387 1.123
O 0.000 5.067 0.522
O 0.000 1.330 4.375
O -1.350 3.717 2.729
O 1.350 3.717 2.729
```

- spin magnetization (μB/cell) = 0.0
- energy (eV/atom) = -8.05
- space group = I-4m2, No. 119